The following is a GGA-PBE calculation of crystalline GeC2F at its relaxed geometry, from the Alexandria database.

Cell lengths 4.492, 4.492, 10.330 Å; angles 90.00, 90.00, 90.00 degrees
Space group I-42d (No. 122)
Unique sites:
Ge 0.000 0.000 0.000 x4
C 0.201 0.250 0.125 x8
F 0.000 0.000 0.500 x4

Output
D(E_F) ... 3.33 states/eV/cell
Excess energy over the best structure of this formula in the dataset ... 0.000 eV per atom
E_form (uncorrected) ... 1.726 eV/atom
Uncorrected energy ... -4.508 eV/atom